#a
A relaxed Te2MoWSe2 crystal. Source: Alexandria via LeMat-Bulk, functional GGA-PBE.

The structure belongs to space group P-3m1 (No. 164); the cell edges are 3.4307, 3.4307 and 29.1468 Å and the angles 90.00°, 90.00° and 120.00°. The distinct sites, in fractional coordinates, are Te at (0.3333, 0.6667, 0.3057), Te at (0.3333, 0.6667, 0.4333), Mo at (0.3333, 0.6667, 0.6305), W at (0.3333, 0.6667, 0.1201), Se at (0.3333, 0.6667, 0.8235) and Se at (0.3333, 0.6667, 0.9363).

The value obtained for the calculated density is 7.7 g/cm³. The magnetization comes out at 0.000 μB per atom.

#b
A relaxed Te2MoWSe2 crystal. Source: Alexandria via LeMat-Bulk, functional GGA-PBE.

The structure belongs to space group P3m1 (No. 156); the cell edges are 3.4346, 3.4346 and 29.1454 Å and the angles 90.00°, 90.00° and 120.00°. The distinct sites, in fractional coordinates, are Te at (0.0000, 0.0000, 0.0000), Te at (0.0000, 0.0000, 0.1275), Te at (0.3333, 0.6667, 0.2598), Te at (0.3333, 0.6667, 0.3880), Mo at (0.0000, 0.0000, 0.8149), Mo at (0.3333, 0.6667, 0.0637), W at (0.0000, 0.0000, 0.3239), W at (0.3333, 0.6667, 0.5742), Se at (0.0000, 0.0000, 0.5178), Se at (0.0000, 0.0000, 0.6305), Se at (0.3333, 0.6667, 0.7587) and Se at (0.3333, 0.6667, 0.8710).

The value obtained for the calculated density is 7.7 g/cm³. The magnetization comes out at 0.000 μB per atom.

#c
A relaxed Te2MoWSe2 crystal. Source: Alexandria via LeMat-Bulk, functional GGA-PBE.

The structure belongs to space group P3m1 (No. 156); the cell edges are 3.4387, 3.4387 and 14.5179 Å and the angles 90.00°, 90.00° and 120.00°. The distinct sites, in fractional coordinates, are Te at (0.0000, 0.0000, 0.0000), Te at (0.0000, 0.0000, 0.2570), Mo at (0.0000, 0.0000, 0.6295), W at (0.6667, 0.3333, 0.1285), Se at (0.6667, 0.3333, 0.5168) and Se at (0.6667, 0.3333, 0.7421).

The value obtained for the calculated density is 7.7 g/cm³. The magnetization comes out at 0.000 μB per atom.

Ranked by calculated energy, most stable first: #a, #b, #c.